Entry 1:
The following is a DFT calculation (PBE-GGA) of a relaxed structure of ThZr2Se6.

Lattice parameters (Å, degrees): 5.083 7.363 8.015 73.86 71.51 69.81
Fractional coordinates of all 9 atoms:
Zr: 0.180 0.754 0.886
Se: 0.036 0.139 0.789
Se: 0.748 0.625 0.879
Se: 0.964 0.861 0.211
Th: 0.000 0.500 0.500
Se: 0.636 0.278 0.451
Se: 0.364 0.722 0.549
Se: 0.252 0.375 0.121
Zr: 0.820 0.246 0.114

## Properties
Formation energy from raw total energies (eV/atom): -1.337


Entry 2:
The following is a DFT calculation (PBE-GGA) of a relaxed structure of AuBrF2.

Lattice parameters (Å, degrees): 4.590 7.672 9.631 89.99 90.00 90.00
Fractional coordinates of all 16 atoms:
F: 0.206 0.619 0.567
Au: 0.500 0.250 0.918
Br: 0.250 0.564 0.250
Br: 0.750 0.936 0.250
F: 0.206 0.120 0.433
F: 0.706 0.380 0.067
Br: 0.750 0.436 0.750
Br: 0.250 0.064 0.750
F: 0.294 0.119 0.067
Au: 0.000 0.750 0.418
F: 0.706 0.881 0.933
Au: 0.500 0.750 0.082
Au: 0.000 0.250 0.582
F: 0.794 0.381 0.433
F: 0.794 0.880 0.567
F: 0.294 0.620 0.933

## Properties
Formation energy from raw total energies (eV/atom): -0.750
Excess energy over the best structure of this formula in the dataset (meV/atom): 0